(1)
The following is a DFT calculation (PBE) of a geometry-optimized MgNbAlNi structure.

Results
Excess energy over the best structure of this formula in the dataset (eV/atom): 0.0000
VASP energy (eV per atom): -5.188

Cell: 4.432 4.432 4.432 Å, 60.00 60.00 60.00°
Fractional positions:
Al (0.000, 0.000, 0.000)
Mg (0.250, 0.250, 0.250)
Nb (0.500, 0.500, 0.500)
Ni (0.750, 0.750, 0.750)



(2)
The following is a DFT calculation (PBE) of a geometry-optimized SmHfNi2Sn2 structure.

Results
VASP energy (eV per atom): -6.227

Cell: 4.426 4.426 7.144 Å, 90.00 90.00 120.00°
Fractional positions:
Hf (0.000, 0.000, 0.250)
Ni (0.333, 0.667, 0.087)
Ni (0.667, 0.333, 0.416)
Sm (0.000, 0.000, 0.749)
Sn (0.667, 0.333, 0.020)
Sn (0.333, 0.667, 0.478)



(3)
The following is a DFT calculation (PBE) of a geometry-optimized TbTaAsO structure.

Results
Excess energy over the best structure of this formula in the dataset (eV/atom): 0.0000
VASP energy (eV per atom): -8.368

Cell: 3.959 3.959 9.037 Å, 90.00 90.00 90.00°
Fractional positions:
As (0.000, 0.500, 0.300)
As (0.500, 0.000, 0.700)
O (0.000, 0.000, 0.000)
O (0.500, 0.500, 0.000)
Ta (0.000, 0.000, 0.500)
Ta (0.500, 0.500, 0.500)
Tb (0.500, 0.000, 0.123)
Tb (0.000, 0.500, 0.877)